Entry A
PBE CuAgI2N, optimized geometry; crystal system = tetragonal; spin magnetization = 2.12 Bohr magnetons per cell; space group = P4/mmm (123)
1.0
5.691 0.000 0.000
0.000 5.691 0.000
0.000 0.000 3.690
Ag N Cu I
1 1 1 2
Cartesian
2.846 2.846 1.845
0.000 0.000 1.845
0.000 0.000 0.000
2.846 0.000 0.000
0.000 2.846 0.000

***

Entry B
PBE CuAgI2N, optimized geometry; crystal system = tetragonal; spin magnetization = 0.00 Bohr magnetons per cell; space group = P4/mmm (123)
1.0
5.850 0.000 0.000
0.000 5.850 0.000
0.000 0.000 3.897
I Ag N Cu
2 1 1 1
Cartesian
0.000 2.925 0.000
2.925 0.000 0.000
0.000 0.000 0.000
0.000 0.000 1.949
2.925 2.925 1.949

***

The data favor entry A; the next most stable structure lies 530 meV per atom above it.

***

Entry A
PBE CuAgIN2, optimized geometry; crystal system = tetragonal; spin magnetization = 3.57 Bohr magnetons per cell; space group = P4/mmm (123)
1.0
3.902 0.000 0.000
0.000 3.902 0.000
0.000 0.000 7.132
Cu N Ag I
1 2 1 1
Cartesian
0.000 0.000 0.000
1.951 0.000 0.000
0.000 1.951 0.000
1.951 1.951 3.566
0.000 0.000 3.566

***

Entry B
PBE CuAgIN2, optimized geometry; crystal system = tetragonal; spin magnetization = 0.18 Bohr magnetons per cell; space group = P4/mmm (123)
1.0
3.957 0.000 0.000
0.000 3.957 0.000
0.000 0.000 7.645
N I Cu Ag
2 1 1 1
Cartesian
1.979 0.000 0.000
0.000 1.979 0.000
0.000 0.000 3.822
1.979 1.979 3.822
0.000 0.000 0.000

***

The data favor entry A; the next most stable structure lies 442 meV per atom above it.

***

Entry A
PBE CuAgIO2, optimized geometry; crystal system = tetragonal; spin magnetization = 1.38 Bohr magnetons per cell; space group = P4/mmm (123)
1.0
-2.453 0.790 -2.980
-3.026 -1.345 2.134
-1.073 6.581 2.627
O Cu I Ag
2 1 1 1
Cartesian
-1.226 0.395 -1.490
-1.513 -0.673 1.067
-3.276 3.013 0.890
-0.537 3.290 1.314
0.000 0.000 0.000

***

Entry B
PBE CuAgIO2, optimized geometry; crystal system = tetragonal; spin magnetization = 2.00 Bohr magnetons per cell; space group = P4/mmm (123)
1.0
3.868 0.000 0.000
0.000 3.868 0.000
0.000 0.000 6.662
O I Cu Ag
2 1 1 1
Cartesian
1.934 0.000 0.000
0.000 1.934 0.000
0.000 0.000 3.331
0.000 0.000 0.000
1.934 1.934 3.331

***

The data favor entry B; the next most stable structure lies 298 meV per atom above it.

***

Entry A
PBE CuAgTe2I, optimized geometry; crystal system = tetragonal; spin magnetization = 0.00 Bohr magnetons per cell; space group = P4/mmm (123)
1.0
5.456 0.000 0.000
0.000 5.456 0.000
0.000 0.000 5.670
Ag I Te Cu
1 1 2 1
Cartesian
0.000 0.000 0.000
0.000 0.000 2.835
0.000 2.728 0.000
2.728 0.000 0.000
2.728 2.728 2.835

***

Entry B
PBE CuAgTe2I, optimized geometry; crystal system = tetragonal; spin magnetization = 0.00 Bohr magnetons per cell; space group = P4/mmm (123)
1.0
-4.544 -2.058 1.300
2.434 -3.797 2.497
-0.042 3.055 4.686
Ag Cu Te I
1 1 2 1
Cartesian
-1.076 -1.400 4.242
0.000 0.000 0.000
1.217 -1.899 1.249
-2.272 -1.029 0.650
-0.021 1.527 2.343

***

The data favor entry B; the next most stable structure lies 334 meV per atom above it.

***

Entry A
PBE CuAgTeI2, optimized geometry; crystal system = tetragonal; spin magnetization = 0.61 Bohr magnetons per cell; space group = P4/mmm (123)
1.0
5.675 0.000 0.000
0.000 5.675 0.000
0.000 0.000 5.523
I Te Ag Cu
2 1 1 1
Cartesian
2.837 0.000 0.000
0.000 2.837 0.000
0.000 0.000 2.762
0.000 0.000 0.000
2.837 2.837 2.762

***

Entry B
PBE CuAgTeI2, optimized geometry; crystal system = tetragonal; spin magnetization = 0.00 Bohr magnetons per cell; space group = P4/mmm (123)
1.0
-0.388 0.196 5.478
0.175 -5.489 0.208
5.145 0.177 0.358
Ag Te I Cu
1 1 2 1
Cartesian
2.466 -2.558 3.022
2.573 0.089 0.179
-0.194 0.098 2.739
0.087 -2.744 0.104
0.000 0.000 0.000

***

The data favor entry B; the next most stable structure lies 296 meV per atom above it.

***

Entry A
PBE In2CuAg, optimized geometry; crystal system = tetragonal; spin magnetization = 0.00 Bohr magnetons per cell; space group = P4mm (99)
1.0
3.341 0.000 0.000
0.000 3.341 0.000
0.000 0.000 7.333
In Ag Cu
2 1 1
Cartesian
1.670 1.670 2.066
0.000 0.000 6.961
0.000 0.000 3.965
1.670 1.670 5.339

***

Entry B
PBE In2CuAg, optimized geometry; crystal system = trigonal; spin magnetization = 0.00 Bohr magnetons per cell; space group = R-3m (166)
1.0
-6.160 -5.974 2.238
-6.225 -6.230 -1.040
-3.981 -7.894 0.696
Ag In Cu
1 2 1
Cartesian
-4.091 -5.024 0.474
-0.091 -0.112 0.011
-8.092 -9.936 0.937
-12.274 -15.073 1.421

***

Entry C
PBE In2CuAg, optimized geometry; crystal system = monoclinic; spin magnetization = 0.00 Bohr magnetons per cell; space group = Pm (6)
1.0
-3.382 -2.700 -0.230
2.104 -2.708 0.848
0.213 -0.745 5.612
In Ag Cu
2 1 1
Cartesian
2.217 -3.289 6.007
-1.013 -2.369 1.878
1.570 -2.245 3.265
-0.364 -3.429 4.770

***

Entry D
PBE In2CuAg, optimized geometry; crystal system = cubic; spin magnetization = 0.00 Bohr magnetons per cell; space group = Fm-3m (225)
1.0
-0.237 -4.806 0.355
-3.698 -2.386 -1.978
0.711 -2.745 -3.904
In Cu Ag
2 1 1
Cartesian
-0.806 -2.484 -1.382
-2.418 -7.453 -4.145
0.000 0.000 0.000
-1.612 -4.969 -2.763

***

The data favor entry C; the next most stable structure lies 46 meV per atom above it.